Entry 1:
Material: TbMgZnAu
Method: DFT, PBE
State: relaxed

Computed properties:
E_form: -54.91 kJ per mole of atoms

Cell and atoms, written as CIF:
```
data_TbMgZnAu
_cell_length_a 6.8996
_cell_length_b 6.8996
_cell_length_c 6.8996
_cell_angle_alpha 90.00
_cell_angle_beta 90.00
_cell_angle_gamma 90.00
_space_group_name_H-M_alt 'F -4 3 m'
_space_group_IT_number 216
_space_group_name_Hall 'F -4 2 3'
loop_
_atom_site_label
_atom_site_fract_x
_atom_site_fract_y
_atom_site_fract_z
Tb1 0.0000 0.0000 0.0000
Mg1 0.0000 0.0000 0.5000
Zn1 0.2500 0.2500 0.2500
Au1 0.2500 0.2500 0.7500
```

***

Entry 2:
Material: BaCr2Se
Method: DFT, PBE
State: relaxed

Computed properties:
Formation energy from raw total energies: 285 meV/atom

Cell and atoms, written as CIF:
```
data_BaCr2Se
_cell_length_a 4.8288
_cell_length_b 4.8288
_cell_length_c 17.5428
_cell_angle_alpha 90.00
_cell_angle_beta 90.00
_cell_angle_gamma 90.00
_space_group_name_H-M_alt 'I 41/a m d'
_space_group_IT_number 141
loop_
_space_group_symop_operation_xyz
'x,y,z'
'-x,-y,-z'
'-y+1/4,x+3/4,z+1/4'
'y+1/4,-x+3/4,-z+1/4'
'-x+1/2,-y,z+1/2'
'x+1/2,y,-z+1/2'
'y+1/4,-x+1/4,z+3/4'
'-y+1/4,x+1/4,-z+3/4'
'x,-y,-z'
'-x,y,z'
'-y+1/4,-x+1/4,-z+3/4'
'y+1/4,x+1/4,z+3/4'
'-x+1/2,y,-z+1/2'
'x+1/2,-y,z+1/2'
'y+1/4,x+3/4,-z+1/4'
'-y+1/4,-x+3/4,z+1/4'
'x+1/2,y+1/2,z+1/2'
'-x+1/2,-y+1/2,-z+1/2'
'-y+3/4,x+1/4,z+3/4'
'y+3/4,-x+1/4,-z+3/4'
'-x,-y+1/2,z'
'x,y+1/2,-z'
'y+3/4,-x+3/4,z+1/4'
'-y+3/4,x+3/4,-z+1/4'
'x+1/2,-y+1/2,-z+1/2'
'-x+1/2,y+1/2,z+1/2'
'-y+3/4,-x+3/4,-z+1/4'
'y+3/4,x+3/4,z+1/4'
'-x,y+1/2,-z'
'x,-y+1/2,z'
'y+3/4,x+1/4,-z+3/4'
'-y+3/4,-x+1/4,z+3/4'
loop_
_atom_site_label
_atom_site_fract_x
_atom_site_fract_y
_atom_site_fract_z
Ba1 0.0000 0.2500 0.3750
Cr1 0.0000 0.0000 0.0000
Se1 0.0000 0.2500 0.8750
```

***

Entry 3:
Material: ThTlSn
Method: DFT, PBE
State: relaxed

Computed properties:
E_form: -16.61 kJ per mole of atoms

Cell and atoms, written as CIF:
```
data_ThTlSn
_cell_length_a 5.2513
_cell_length_b 5.2513
_cell_length_c 7.1602
_cell_angle_alpha 90.00
_cell_angle_beta 90.00
_cell_angle_gamma 120.00
_space_group_name_H-M_alt 'P -3 m 1'
_space_group_IT_number 164
_space_group_name_Hall '-P 3 2"'
loop_
_atom_site_label
_atom_site_fract_x
_atom_site_fract_y
_atom_site_fract_z
Th1 0.0000 0.0000 0.2337
Tl1 0.3333 0.6667 0.4565
Sn1 0.3333 0.6667 0.9756
```

***

Entry 4:
Material: CaMnCr2
Method: DFT, PBE
State: relaxed

Computed properties:
E_form: 78.38 kJ per mole of atoms

Cell and atoms, written as CIF:
```
data_CaMnCr2
_cell_length_a 3.0540
_cell_length_b 3.0540
_cell_length_c 26.5903
_cell_angle_alpha 90.00
_cell_angle_beta 90.00
_cell_angle_gamma 120.00
_space_group_name_H-M_alt 'R -3 m'
_space_group_IT_number 166
_space_group_name_Hall '-R 3 2"'
loop_
_atom_site_label
_atom_site_fract_x
_atom_site_fract_y
_atom_site_fract_z
Ca1 0.0000 0.0000 0.0000
Mn1 0.0000 0.0000 0.5000
Cr1 0.0000 0.0000 0.2318
```

***

Entry 5:
Material: PtSN2Cl
Method: DFT, PBE
State: relaxed

Computed properties:
Formation energy from raw total energies: 2167 meV/atom

Cell and atoms, written as CIF:
```
data_PtSN2Cl
_cell_length_a 3.4560
_cell_length_b 3.4560
_cell_length_c 7.7787
_cell_angle_alpha 90.00
_cell_angle_beta 90.00
_cell_angle_gamma 90.00
_space_group_name_H-M_alt 'P 4/m m m'
_space_group_IT_number 123
_space_group_name_Hall '-P 4 2'
loop_
_atom_site_label
_atom_site_fract_x
_atom_site_fract_y
_atom_site_fract_z
Pt1 0.0000 0.0000 0.0000
S1 0.5000 0.5000 0.0000
N1 0.0000 0.5000 0.5000
Cl1 0.5000 0.5000 0.5000
```

***

Entry 6:
Material: MnHgI3
Method: DFT, PBE
State: relaxed

Computed properties:
Formation energy from raw total energies: -169 meV/atom

Cell and atoms, written as CIF:
```
data_MnHgI3
_cell_length_a 4.9991
_cell_length_b 4.9991
_cell_length_c 17.9134
_cell_angle_alpha 90.00
_cell_angle_beta 90.00
_cell_angle_gamma 120.00
_space_group_name_H-M_alt 'P 63/m m c'
_space_group_IT_number 194
_space_group_name_Hall '-P 6c 2c'
loop_
_atom_site_label
_atom_site_fract_x
_atom_site_fract_y
_atom_site_fract_z
Mn1 0.3333 0.6667 0.2500
Hg1 0.0000 0.0000 0.0000
I1 0.0000 0.0000 0.2500
I2 0.3333 0.6667 0.0977
```

***

Entry 7:
Material: Er2RuAuC
Method: DFT, PBE
State: relaxed

Computed properties:
E_form: -56.49 kJ per mole of atoms

Cell and atoms, written as CIF:
```
data_Er2RuAuC
_cell_length_a 4.9301
_cell_length_b 4.9301
_cell_length_c 3.8717
_cell_angle_alpha 90.00
_cell_angle_beta 90.00
_cell_angle_gamma 90.00
_space_group_name_H-M_alt 'P 4/m m m'
_space_group_IT_number 123
_space_group_name_Hall '-P 4 2'
loop_
_atom_site_label
_atom_site_fract_x
_atom_site_fract_y
_atom_site_fract_z
Er1 0.0000 0.5000 0.0000
Ru1 0.0000 0.0000 0.5000
Au1 0.5000 0.5000 0.5000
C1 0.0000 0.0000 0.0000
```

***

Entry 8:
Material: CeHo2Ga
Method: DFT, PBE
State: relaxed

Computed properties:
E_form: -20.30 kJ per mole of atoms

Cell and atoms, written as CIF:
```
data_CeHo2Ga
_cell_length_a 4.7492
_cell_length_b 4.7492
_cell_length_c 4.5280
_cell_angle_alpha 90.00
_cell_angle_beta 90.00
_cell_angle_gamma 90.00
_space_group_name_H-M_alt 'P 4/m m m'
_space_group_IT_number 123
_space_group_name_Hall '-P 4 2'
loop_
_atom_site_label
_atom_site_fract_x
_atom_site_fract_y
_atom_site_fract_z
Ce1 0.0000 0.0000 0.0000
Ho1 0.0000 0.5000 0.5000
Ga1 0.5000 0.5000 0.0000
```

***

Entry 9:
Material: BaTlBi2Pd2
Method: DFT, PBE
State: relaxed

Computed properties:
E_form: -26.80 kJ per mole of atoms

Cell and atoms, written as CIF:
```
data_BaTlBi2Pd2
_cell_length_a 5.1621
_cell_length_b 5.1621
_cell_length_c 6.7993
_cell_angle_alpha 90.00
_cell_angle_beta 90.00
_cell_angle_gamma 90.00
_space_group_name_H-M_alt 'P 4/m m m'
_space_group_IT_number 123
_space_group_name_Hall '-P 4 2'
loop_
_atom_site_label
_atom_site_fract_x
_atom_site_fract_y
_atom_site_fract_z
Ba1 0.0000 0.0000 0.0000
Tl1 0.0000 0.0000 0.5000
Bi1 0.5000 0.5000 0.2532
Pd1 0.0000 0.5000 0.5000
```

***

Entry 10:
Material: Mg2AsOs
Method: DFT, PBE
State: relaxed

Computed properties:
E_form: 18.60 kJ per mole of atoms

Cell and atoms, written as CIF:
```
data_Mg2AsOs
_cell_length_a 6.3933
_cell_length_b 6.3933
_cell_length_c 6.3933
_cell_angle_alpha 90.00
_cell_angle_beta 90.00
_cell_angle_gamma 90.00
_space_group_name_H-M_alt 'F -4 3 m'
_space_group_IT_number 216
_space_group_name_Hall 'F -4 2 3'
loop_
_atom_site_label
_atom_site_fract_x
_atom_site_fract_y
_atom_site_fract_z
Mg1 0.0000 0.0000 0.0000
Mg2 0.2500 0.2500 0.2500
As1 0.0000 0.0000 0.5000
Os1 0.2500 0.2500 0.7500
```

***

Entry 11:
Material: Tb2PmTeO8
Method: DFT, PBE
State: relaxed

Computed properties:
Formation energy from raw total energies: -2479 meV/atom

Cell and atoms, written as CIF:
```
data_Tb2PmTeO8
_cell_length_a 7.1179
_cell_length_b 7.1908
_cell_length_c 7.0149
_cell_angle_alpha 90.00
_cell_angle_beta 90.00
_cell_angle_gamma 90.00
_space_group_name_H-M_alt 'C m m m'
_space_group_IT_number 65
_space_group_name_Hall '-C 2 2'
loop_
_atom_site_label
_atom_site_fract_x
_atom_site_fract_y
_atom_site_fract_z
Tb1 0.0000 0.0000 0.2430
Pm1 0.0000 0.5000 0.5000
Te1 0.0000 0.5000 0.0000
O1 0.0000 0.3170 0.2066
O2 0.1839 0.0000 0.5000
O3 0.2255 0.0000 0.0000
```

***

Entry 12:
Material: Tl2ZnAuO
Method: DFT, PBE
State: relaxed

Computed properties:
Formation energy from raw total energies: 378 meV/atom

Cell and atoms, written as CIF:
```
data_Tl2ZnAuO
_cell_length_a 5.5052
_cell_length_b 5.5052
_cell_length_c 4.8704
_cell_angle_alpha 90.00
_cell_angle_beta 90.00
_cell_angle_gamma 90.00
_space_group_name_H-M_alt 'P 4/m m m'
_space_group_IT_number 123
_space_group_name_Hall '-P 4 2'
loop_
_atom_site_label
_atom_site_fract_x
_atom_site_fract_y
_atom_site_fract_z
Tl1 0.0000 0.5000 0.0000
Zn1 0.0000 0.0000 0.5000
Au1 0.0000 0.0000 0.0000
O1 0.5000 0.5000 0.5000
```

***

| no. | DFT total energy (hartree per atom) |
| --- | --- |
| 1 | -0.120 |
| 2 | -0.216 |
| 3 | -0.175 |
| 4 | -0.250 |
| 5 | -0.131 |
| 6 | -0.110 |
| 7 | -0.249 |
| 8 | -0.174 |
| 9 | -0.148 |
| 10 | -0.168 |
| 11 | -0.265 |
| 12 | -0.091 |